[1]
# ErPuNi

A relaxed structure of ErPuNi (PBE-GGA, Alexandria via LeMat-Bulk).

Geometry as POSCAR:
```
ErPuNi
1.0
-0.363 0.808 3.372
2.860 -1.644 0.702
6.415 7.253 -1.048
Ni Pu Er
2 2 2
Cartesian
1.559 0.433 2.768 Ni
7.354 5.984 0.258 Ni
3.466 3.522 2.233 Pu
5.447 2.895 0.794 Pu
5.172 6.286 1.754 Er
3.741 0.131 1.272 Er
```

Properties
Its formation energy is -0.0063 eV/atom. For the total energy, the calculation gives -8.232 eV per atom. The space group is Cmcm, No. 63. The excess energy over the best structure of this formula in the dataset comes out at 87 meV per atom.

***

[2]
# ErPu2Ni9

A relaxed structure of ErPu2Ni9 (PBE-GGA, Alexandria via LeMat-Bulk).

Geometry as POSCAR:
```
ErPu2Ni9
1.0
-3.518 -0.823 3.344
1.148 -2.044 4.328
0.478 6.437 5.711
Er Pu Ni
1 2 9
Cartesian
0.000 0.000 0.000 Er
-1.828 0.288 9.018 Pu
-0.063 3.282 4.365 Pu
-1.103 4.517 10.822 Ni
-0.788 -0.947 2.561 Ni
-0.945 1.785 6.691 Ni
-0.874 0.378 4.607 Ni
-2.634 -0.034 6.281 Ni
-0.299 -0.645 6.773 Ni
-1.017 3.193 8.776 Ni
-1.592 4.215 6.610 Ni
0.743 3.604 7.102 Ni
```

Properties
Its formation energy is -0.3101 eV/atom. For the total energy, the calculation gives -7.415 eV per atom. The space group is R-3m, No. 166.

***

[3]
# ErPu3Ni8

A relaxed structure of ErPu3Ni8 (PBE-GGA, Alexandria via LeMat-Bulk).

Geometry as POSCAR:
```
ErPu3Ni8
1.0
4.822 0.000 1.456
2.191 4.295 1.456
0.002 0.001 8.708
Er Pu Ni
1 3 8
Cartesian
6.152 3.768 5.765 Er
2.611 1.599 8.779 Pu
0.035 0.021 8.598 Pu
3.473 2.127 5.924 Pu
5.466 1.881 3.651 Ni
4.178 4.030 7.962 Ni
3.071 1.881 2.928 Ni
6.580 4.030 8.687 Ni
1.316 0.806 4.354 Ni
4.823 2.954 10.167 Ni
4.159 4.014 3.651 Ni
5.488 1.891 7.962 Ni
```

Properties
Its formation energy is -0.3117 eV/atom. For the total energy, the calculation gives -8.129 eV per atom. The space group is R3m, No. 160.

***

[4]
# Er3PuNi8

A relaxed structure of Er3PuNi8 (PBE-GGA, Alexandria via LeMat-Bulk).

Geometry as POSCAR:
```
Er3PuNi8
1.0
-0.350 -2.403 -4.419
0.720 -4.986 -0.223
-7.908 -3.681 -0.250
Er Pu Ni
3 1 8
Cartesian
-6.763 -5.989 -1.962 Er
0.339 -7.394 -4.637 Er
-3.732 -5.529 -2.452 Er
-2.659 -7.848 -4.152 Pu
-1.484 -5.122 -4.297 Ni
-4.930 -8.258 -2.306 Ni
-1.308 -3.914 -2.075 Ni
-5.105 -9.465 -4.524 Ni
-3.388 -2.995 -0.980 Ni
-7.160 -8.530 -3.425 Ni
-0.946 -6.420 -2.187 Ni
-5.467 -6.962 -4.412 Ni
```

Properties
Its formation energy is -0.4149 eV/atom. For the total energy, the calculation gives -6.604 eV per atom. The space group is R3m, No. 160.